# CaTa2Be

A geometry-optimized CaTa2Be structure (PBE-GGA, Alexandria via LeMat-Bulk).

abc: 3.937 3.937 10.572
angles: 79.27 79.27 90.00
Sites, in units of the cell vectors:
Ta: 0.875 0.392 0.750
Ta: 0.608 0.625 0.250
Ta: 0.375 0.858 0.750
Ta: 0.142 0.125 0.250
Be: 0.500 0.500 0.000
Be: 0.250 0.750 0.500
Ca: 0.000 0.000 0.000
Ca: 0.750 0.250 0.500

## Properties
formation enthalpy at 0 K	0.98	eV/atom
calculated volume	19.76	A^3/atom
space group	I-42d, No. 122